# 1
The following is a GGA-PBE calculation of LiZnCr2 after structural relaxation, from the Alexandria database.

- Distance to the lowest polymorph of the same formula: 121 meV per atom
- Calculated formation energy: 0.30 eV per atom

Lattice parameters (Å, degrees): 4.930 4.930 3.639 68.38 68.38 36.36
Fractional positions:
Cr (0.000, 0.000, 0.005)
Cr (0.500, 0.500, 0.495)
Li (0.750, 0.750, 0.750)
Zn (0.250, 0.250, 0.250)

---

# 2
The following is a GGA-PBE calculation of ErPaSn after structural relaxation, from the Alexandria database.

- Distance to the lowest polymorph of the same formula: 288 meV per atom
- Calculated formation energy: 0.15 eV per atom

Lattice parameters (Å, degrees): 3.146 5.292 5.292 120.00 90.00 90.00
Fractional positions:
Pa (0.164, 0.000, 0.000)
Sn (0.665, 0.667, 0.333)
Er (0.172, 0.333, 0.667)

---

# 3
The following is a GGA-PBE calculation of TbEr2Sb after structural relaxation, from the Alexandria database.

- Distance to the lowest polymorph of the same formula: 82 meV per atom
- Formation energy without anion corrections: -0.464 eV/atom

Lattice parameters (Å, degrees): 4.750 4.763 4.763 90.00 90.00 90.00
Fractional positions:
Sb (0.500, 0.000, 0.000)
Tb (0.500, 0.500, 0.500)
Er (0.000, 0.000, 0.500)
Er (0.000, 0.500, 0.000)

---

# 4
The following is a GGA-PBE calculation of RbTl2RuF8 after structural relaxation, from the Alexandria database.

- Formation energy without anion corrections: -1.979 eV/atom

Lattice parameters (Å, degrees): 4.877 6.362 8.198 89.98 89.98 97.35
Fractional positions:
Rb (0.000, 0.000, 0.500)
Tl (0.500, 0.500, 0.740)
Tl (0.500, 0.500, 0.260)
Ru (0.000, 0.000, 0.000)
F (0.103, 0.816, 0.168)
F (0.648, 0.834, 0.000)
F (0.897, 0.184, 0.168)
F (0.897, 0.184, 0.832)
F (0.352, 0.166, 0.000)
F (0.103, 0.816, 0.832)
F (0.485, 0.731, 0.500)
F (0.515, 0.269, 0.500)

---

The calculation returns the following D(E_F) values, one per record and in order: 0.472, 2.008, 1.236, 0.158 states/eV/atom.
The calculation returns the following spin magnetization values, one per record and in order: 0.0, 0.7, 0.0, 3.0 μB per cell.